P.
Compound: NaZr2Au
Source: Alexandria
Functional: PBE-GGA
Structure: optimized geometry

Lattice parameters (Å, degrees): 4.1291 4.1291 11.1071 79.29 79.29 90.00
Closest atoms and distances in Å follow each position.
Fractional positions:
Zr 0.8750 0.8901 0.7500  4 Zr 2.83-3.01, 2 Au 3.03, 2 Na 3.07
Zr 0.6401 0.1250 0.2500  4 Zr 2.83-3.01, 2 Au 3.03, 2 Na 3.07
Zr 0.3750 0.3599 0.7500  4 Zr 2.83-3.01, 2 Au 3.03, 2 Na 3.07
Zr 0.1099 0.6250 0.2500  4 Zr 2.83-3.01, 2 Au 3.03, 2 Na 3.07
Au 0.0000 0.0000 0.0000  4 Na 2.92, 4 Zr 3.03
Au 0.7500 0.2500 0.5000  4 Na 2.92, 4 Zr 3.03
Na 0.2500 0.7500 0.5000  4 Au 2.92, 4 Zr 3.07
Na 0.5000 0.5000 0.0000  4 Au 2.92, 4 Zr 3.07

***

Q.
Compound: NaZr2Au
Source: Alexandria
Functional: PBE-GGA
Structure: optimized geometry

Lattice parameters (Å, degrees): 4.9157 4.9157 4.9157 60.00 60.00 60.00
Closest atoms and distances in Å follow each position.
Fractional positions:
Au 0.5000 0.5000 0.5000  8 Zr 3.01
Zr 0.7500 0.7500 0.7500  4 Na 3.01, 4 Au 3.01
Zr 0.2500 0.2500 0.2500  4 Na 3.01, 4 Au 3.01
Na 0.0000 0.0000 0.0000  8 Zr 3.01

***

Which of them is most stable? Easy: Q.

***

P.
Compound: Nb3Au
Source: Alexandria
Functional: PBE-GGA
Structure: optimized geometry

Lattice parameters (Å, degrees): 4.6765 4.6765 4.6765 60.00 60.00 60.00
Closest atoms and distances in Å follow each position.
Fractional positions:
Au 0.5000 0.5000 0.5000  8 Nb 2.86
Nb 0.0000 0.0000 0.0000  8 Nb 2.86
Nb 0.7500 0.7500 0.7500  4 Nb 2.86, 4 Au 2.86
Nb 0.2500 0.2500 0.2500  4 Nb 2.86, 4 Au 2.86

***

Q.
Compound: Nb3Au
Source: Alexandria
Functional: PBE-GGA
Structure: optimized geometry

Lattice parameters (Å, degrees): 3.6358 4.4484 4.4482 90.00 90.00 90.00
Closest atoms and distances in Å follow each position.
Fractional positions:
Au 0.0000 0.5000 0.4167  12 Nb 2.87-3.15
Nb 0.0000 0.0000 0.9167  8 Nb 2.87, 4 Au 3.15
Nb 0.5000 0.5000 0.9167  4 Au 2.87, 8 Nb 2.87-3.15
Nb 0.5000 0.0000 0.4167  8 Nb 2.87-3.15, 4 Au 2.87

***

Which of them is most stable? Easy: Q.

***

P.
Compound: Nb3Au
Source: Alexandria
Functional: PBE-GGA
Structure: optimized geometry

Lattice parameters (Å, degrees): 5.2527 5.2527 5.2527 90.00 90.00 90.00
Closest atoms and distances in Å follow each position.
Fractional positions:
Nb 0.7500 0.0000 0.5000  2 Nb 2.63, 4 Au 2.94
Nb 0.2500 0.0000 0.5000  2 Nb 2.63, 4 Au 2.94
Nb 0.0000 0.5000 0.2500  2 Nb 2.63, 4 Au 2.94
Nb 0.0000 0.5000 0.7500  2 Nb 2.63, 4 Au 2.94
Nb 0.5000 0.7500 0.0000  2 Nb 2.63, 4 Au 2.94
Nb 0.5000 0.2500 0.0000  2 Nb 2.63, 4 Au 2.94
Au 0.0000 0.0000 0.0000  12 Nb 2.94
Au 0.5000 0.5000 0.5000  12 Nb 2.94

***

Q.
Compound: Nb3Au
Source: Alexandria
Functional: PBE-GGA
Structure: optimized geometry

Lattice parameters (Å, degrees): 3.4125 3.4122 6.2330 90.00 90.00 90.00
Closest atoms and distances in Å follow each position.
Fractional positions:
Nb 0.5000 0.5000 0.7379  5 Nb 2.83-2.97, 4 Au 2.91
Nb 0.5000 0.5000 0.2621  5 Nb 2.83-2.97, 4 Au 2.91
Nb 0.0000 0.0000 0.5000  8 Nb 2.83, 2 Au 3.12
Au 0.0000 0.0000 0.0000  10 Nb 2.91-3.12

***

R.
Compound: Nb3Au
Source: Alexandria
Functional: PBE-GGA
Structure: optimized geometry

Lattice parameters (Å, degrees): 2.8186 2.8186 9.3175 90.00 90.00 102.89
Closest atoms and distances in Å follow each position.
Fractional positions:
Au 0.0000 0.0000 0.0000  4 Au 2.82, 4 Nb 2.91
Nb 0.5000 0.5000 0.2488  6 Nb 2.82-2.93, 2 Au 2.91
Nb 0.5000 0.5000 0.7512  6 Nb 2.82-2.93, 2 Au 2.91
Nb 0.0000 0.0000 0.5000  8 Nb 2.82-2.93

***

S.
Compound: Nb3Au
Source: Alexandria
Functional: PBE-GGA
Structure: optimized geometry

Lattice parameters (Å, degrees): 2.7422 5.4237 5.7333 118.23 103.84 90.00
Closest atoms and distances in Å follow each position.
Fractional positions:
Nb 0.5000 0.5148 0.0000  8 Nb 2.74-3.01, 4 Au 3.04
Nb 0.2530 0.5712 0.5059  9 Nb 2.74-3.04, 3 Au 2.96-2.97
Nb 0.7470 0.0653 0.4941  9 Nb 2.74-3.04, 3 Au 2.96-2.97
Au 0.0000 0.0153 0.0000  2 Au 2.74, 10 Nb 2.96-3.04

***

Which of them is most stable? Easy: R.

***

P.
Compound: Nb5Au
Source: Alexandria
Functional: PBE-GGA
Structure: optimized geometry

Lattice parameters (Å, degrees): 3.4004 4.6788 7.2042 108.95 90.00 90.00
Closest atoms and distances in Å follow each position.
Fractional positions:
Nb 0.5000 0.5000 0.0000  4 Nb 2.80, 4 Au 2.89
Nb 0.5000 0.1722 0.3443  6 Nb 2.82-2.89, 2 Au 2.90
Nb 0.0000 0.6629 0.3257  8 Nb 2.80-2.89
Nb 0.0000 0.3371 0.6743  8 Nb 2.80-2.89
Nb 0.5000 0.8278 0.6557  6 Nb 2.82-2.89, 2 Au 2.90
Au 0.0000 0.0000 0.0000  12 Nb 2.89-3.22

***

Q.
Compound: Nb5Au
Source: Alexandria
Functional: PBE-GGA
Structure: optimized geometry

Lattice parameters (Å, degrees): 2.8871 2.8871 15.3823 90.00 90.00 120.00
Closest atoms and distances in Å follow each position.
Fractional positions:
Nb 0.6667 0.3333 0.8401  9 Nb 2.89-3.10, 3 Au 2.97
Nb 0.0000 0.0000 0.3298  12 Nb 2.89-3.10
Nb 0.0000 0.0000 0.6702  12 Nb 2.89-3.10
Nb 0.6667 0.3333 0.1599  9 Nb 2.89-3.10, 3 Au 2.97
Nb 0.6667 0.3333 0.5000  12 Nb 2.89-3.10
Au 0.0000 0.0000 0.0000  6 Au 2.89, 6 Nb 2.97

***

Which of them is most stable? Easy: P.

***

P.
Compound: Nb2NiAu
Source: Alexandria
Functional: PBE-GGA
Structure: optimized geometry

Lattice parameters (Å, degrees): 4.5567 4.5567 4.5567 60.00 60.00 60.00
Closest atoms and distances in Å follow each position.
Fractional positions:
Ni 0.0000 0.0000 0.0000  8 Nb 2.79
Nb 0.2500 0.2500 0.2500  4 Au 2.79, 4 Ni 2.79
Nb 0.7500 0.7500 0.7500  4 Au 2.79, 4 Ni 2.79
Au 0.5000 0.5000 0.5000  8 Nb 2.79

***

Q.
Compound: Nb2NiAu
Source: Alexandria
Functional: PBE-GGA
Structure: optimized geometry

Lattice parameters (Å, degrees): 4.1350 3.9512 3.9512 90.00 90.00 90.00
Closest atoms and distances in Å follow each position.
Fractional positions:
Nb 0.0000 0.5000 0.0000  4 Nb 2.79, 4 Ni 2.86, 4 Au 2.86
Nb 0.0000 0.0000 0.5000  4 Nb 2.79, 4 Au 2.86, 4 Ni 2.86
Ni 0.5000 0.5000 0.5000  4 Au 2.79, 8 Nb 2.86
Au 0.5000 0.0000 0.0000  4 Ni 2.79, 8 Nb 2.86

***

R.
Compound: Nb2NiAu
Source: Alexandria
Functional: PBE-GGA
Structure: optimized geometry

Lattice parameters (Å, degrees): 3.8058 3.8058 10.0462 79.08 79.08 90.00
Closest atoms and distances in Å follow each position.
Fractional positions:
Ni 0.5000 0.5000 0.0000  4 Au 2.69, 4 Nb 2.76
Ni 0.2500 0.7500 0.5000  4 Au 2.69, 4 Nb 2.76
Nb 0.1316 0.6250 0.2500  4 Nb 2.66-2.73, 2 Ni 2.76, 2 Au 2.78
Nb 0.6184 0.1250 0.2500  4 Nb 2.66-2.73, 2 Ni 2.76, 2 Au 2.78
Nb 0.3750 0.3816 0.7500  4 Nb 2.66-2.73, 2 Ni 2.76, 2 Au 2.78
Nb 0.8750 0.8684 0.7500  4 Nb 2.66-2.73, 2 Ni 2.76, 2 Au 2.78
Au 0.0000 0.0000 0.0000  4 Ni 2.69, 4 Nb 2.78
Au 0.7500 0.2500 0.5000  4 Ni 2.69, 4 Nb 2.78

***

Which of them is most stable? Easy: Q.

***

P.
Compound: NbAu3O
Source: Alexandria
Functional: PBE-GGA
Structure: optimized geometry

Lattice parameters (Å, degrees): 4.4788 4.4788 4.4788 90.00 90.00 90.00
Closest atoms and distances in Å follow each position.
Fractional positions:
O 0.0000 0.0000 0.0000  6 Au 2.24
Nb 0.5000 0.5000 0.5000  12 Au 3.17
Au 0.5000 0.0000 0.0000  2 O 2.24
Au 0.0000 0.5000 0.0000  2 O 2.24
Au 0.0000 0.0000 0.5000  2 O 2.24

***

Q.
Compound: NbAu3O
Source: Alexandria
Functional: PBE-GGA
Structure: optimized geometry

Lattice parameters (Å, degrees): 5.1376 5.1376 5.1376 90.00 90.00 90.00
Closest atoms and distances in Å follow each position.
Fractional positions:
Au 0.0000 0.5000 0.0000  2 Nb 2.57
Au 0.0000 0.0000 0.5000  2 Nb 2.57
Au 0.5000 0.0000 0.0000  2 Nb 2.57
Nb 0.0000 0.0000 0.0000  6 Au 2.57
O 0.5000 0.5000 0.5000  12 Au 3.63

***

Which of them is most stable? Easy: P.

***

P.
Compound: NbPAuO2
Source: Alexandria
Functional: PBE-GGA
Structure: optimized geometry

Lattice parameters (Å, degrees): 3.8577 3.8577 5.5603 90.00 90.00 90.00
Closest atoms and distances in Å follow each position.
Fractional positions:
Nb 0.0000 0.0000 0.0000  4 O 1.93
P 0.0000 0.0000 0.5000  4 Au 2.73, 2 Nb 2.78
Au 0.5000 0.5000 0.5000  4 P 2.73
O 0.0000 0.5000 0.0000  2 Nb 1.93
O 0.5000 0.0000 0.0000  2 Nb 1.93

***

Q.
Compound: NbPAuO2
Source: Alexandria
Functional: PBE-GGA
Structure: optimized geometry

Lattice parameters (Å, degrees): 3.9841 3.9841 4.9292 90.00 90.00 90.00
Closest atoms and distances in Å follow each position.
Fractional positions:
P 0.0000 0.0000 0.5000  2 Au 2.46
Au 0.0000 0.0000 0.0000  4 O 1.99
Nb 0.5000 0.5000 0.5000  4 P 2.82
O 0.0000 0.5000 0.0000  2 Au 1.99
O 0.5000 0.0000 0.0000  2 Au 1.99

***

Which of them is most stable? Easy: P.

***

P.
Compound: NbOs2Au
Source: Alexandria
Functional: PBE-GGA
Structure: optimized geometry

Lattice parameters (Å, degrees): 4.5037 4.5037 4.5037 60.00 60.00 60.00
Closest atoms and distances in Å follow each position.
Fractional positions:
Os 0.7500 0.7500 0.7500  4 Nb 2.76, 4 Au 2.76
Os 0.2500 0.2500 0.2500  4 Nb 2.76, 4 Au 2.76
Au 0.5000 0.5000 0.5000  8 Os 2.76
Nb 0.0000 0.0000 0.0000  8 Os 2.76

***

Q.
Compound: NbOs2Au
Source: Alexandria
Functional: PBE-GGA
Structure: optimized geometry

Lattice parameters (Å, degrees): 3.9410 3.9410 9.6737 78.25 78.25 90.00
Closest atoms and distances in Å follow each position.
Fractional positions:
Os 0.5704 0.1250 0.2500  2 Os 2.50, 2 Nb 2.63, 2 Au 2.79
Os 0.8750 0.8204 0.7500  2 Os 2.50, 2 Nb 2.63, 2 Au 2.79
Os 0.3750 0.4296 0.7500  2 Os 2.50, 2 Nb 2.63, 2 Au 2.79
Os 0.1796 0.6250 0.2500  2 Os 2.50, 2 Nb 2.63, 2 Au 2.79
Au 0.0000 0.0000 0.0000  4 Nb 2.79, 4 Os 2.79
Au 0.7500 0.2500 0.5000  4 Nb 2.79, 4 Os 2.79
Nb 0.5000 0.5000 0.0000  4 Os 2.63, 4 Au 2.79
Nb 0.2500 0.7500 0.5000  4 Os 2.63, 4 Au 2.79

***

Which of them is most stable? Easy: P.

***

P.
Compound: Nb3PAu
Source: Alexandria
Functional: PBE-GGA
Structure: optimized geometry

Lattice parameters (Å, degrees): 4.6049 4.6049 4.6049 90.00 90.00 90.00
Closest atoms and distances in Å follow each position.
Fractional positions:
Au 0.5000 0.5000 0.5000  12 Nb 3.26
Nb 0.0000 0.5000 0.0000  2 P 2.30
Nb 0.5000 0.0000 0.0000  2 P 2.30
Nb 0.0000 0.0000 0.5000  2 P 2.30
P 0.0000 0.0000 0.0000  6 Nb 2.30

***

Q.
Compound: Nb3PAu
Source: Alexandria
Functional: PBE-GGA
Structure: optimized geometry

Lattice parameters (Å, degrees): 4.9560 4.9560 4.9560 90.00 90.00 90.00
Closest atoms and distances in Å follow each position.
Fractional positions:
P 0.5000 0.5000 0.5000  12 Nb 3.50
Au 0.0000 0.0000 0.0000  6 Nb 2.48
Nb 0.0000 0.5000 0.0000  2 Au 2.48
Nb 0.0000 0.0000 0.5000  2 Au 2.48
Nb 0.5000 0.0000 0.0000  2 Au 2.48

***

Which of them is most stable? Easy: P.

***

P.
Compound: NbPAuS2
Source: Alexandria
Functional: PBE-GGA
Structure: optimized geometry

Lattice parameters (Å, degrees): 4.7870 4.7870 4.6955 90.00 90.00 90.00
Closest atoms and distances in Å follow each position.
Fractional positions:
Au 0.0000 0.0000 0.0000  2 P 2.35, 4 S 2.39
Nb 0.5000 0.5000 0.5000  8 S 3.35, 4 P 3.38
S 0.5000 0.0000 0.0000  2 Au 2.39
S 0.0000 0.5000 0.0000  2 Au 2.39
P 0.0000 0.0000 0.5000  2 Au 2.35

***

Q.
Compound: NbPAuS2
Source: Alexandria
Functional: PBE-GGA
Structure: optimized geometry

Lattice parameters (Å, degrees): 4.7303 4.7303 4.9784 90.00 90.00 90.00
Closest atoms and distances in Å follow each position.
Fractional positions:
S 0.5000 0.0000 0.0000  2 Nb 2.37
S 0.0000 0.5000 0.0000  2 Nb 2.37
Nb 0.0000 0.0000 0.0000  4 S 2.37, 2 P 2.49
Au 0.5000 0.5000 0.5000  4 P 3.34, 8 S 3.43
P 0.0000 0.0000 0.5000  2 Nb 2.49

***

Which of them is most stable? Easy: Q.

***

P.
Compound: Pa2NbAu
Source: Alexandria
Functional: PBE-GGA
Structure: optimized geometry

Lattice parameters (Å, degrees): 3.5764 3.5764 7.2226 90.00 90.00 90.00
Closest atoms and distances in Å follow each position.
Fractional positions:
Nb 0.5000 0.5000 0.0000  8 Pa 3.05
Pa 0.0000 0.0000 0.2351  4 Nb 3.05, 4 Au 3.17, 1 Pa 3.40
Pa 0.0000 0.0000 0.7649  4 Nb 3.05, 4 Au 3.17, 1 Pa 3.40
Au 0.5000 0.5000 0.5000  8 Pa 3.17

***

Q.
Compound: Pa2NbAu
Source: Alexandria
Functional: PBE-GGA
Structure: optimized geometry

Lattice parameters (Å, degrees): 4.6982 4.3047 4.3047 90.00 90.00 90.00
Closest atoms and distances in Å follow each position.
Fractional positions:
Au 0.5000 0.0000 0.0000  4 Nb 3.04, 8 Pa 3.19
Nb 0.5000 0.5000 0.5000  4 Au 3.04, 8 Pa 3.19
Pa 0.0000 0.0000 0.5000  4 Pa 3.04, 4 Nb 3.19, 4 Au 3.19
Pa 0.0000 0.5000 0.0000  4 Pa 3.04, 4 Nb 3.19, 4 Au 3.19

***

Which of them is most stable? Easy: Q.

***

P.
Compound: Pa2NbAu
Source: Alexandria
Functional: PBE-GGA
Structure: optimized geometry

Lattice parameters (Å, degrees): 5.0431 5.0431 5.0431 60.00 60.00 60.00
Closest atoms and distances in Å follow each position.
Fractional positions:
Pa 0.7500 0.7500 0.7500  4 Au 3.09, 4 Nb 3.09
Pa 0.2500 0.2500 0.2500  4 Nb 3.09, 4 Au 3.09
Au 0.5000 0.5000 0.5000  8 Pa 3.09
Nb 0.0000 0.0000 0.0000  8 Pa 3.09

***

Q.
Compound: Pa2NbAu
Source: Alexandria
Functional: PBE-GGA
Structure: optimized geometry

Lattice parameters (Å, degrees): 3.8105 3.8105 9.3538 78.25 78.25 60.00
Closest atoms and distances in Å follow each position.
Fractional positions:
Au 0.0000 0.0000 0.0000  2 Pa 2.85
Pa 0.1046 0.1046 0.6863  3 Nb 2.78, 1 Au 2.85
Pa 0.8954 0.8954 0.3137  3 Nb 2.78, 1 Au 2.85
Nb 0.5000 0.5000 0.5000  6 Pa 2.78

***

Which of them is most stable? Easy: P.